# 1
The following is a GGA-PBE calculation of a relaxed Sc2NbH crystal, from Alexandria via LeMat-Bulk.

The calculation puts the magnetic moment at 0.00 μB/cell. The energy above the most stable polymorph in this dataset is 34 meV/atom. The value obtained for the density of states at the Fermi level is 8.09 states/eV per cell.

The space group is R-3m (No. 166, hexagonal axes) and the conventional cell measures 3.0519, 3.0519 and 24.5638 Å, with angles of 90.00, 90.00 and 120.00 degrees. The distinct sites, in fractional coordinates, are Sc at (0.0000, 0.0000, 0.1148), Nb at (0.0000, 0.0000, 0.0000) and H at (0.0000, 0.0000, 0.5000).

# 2
The following is a GGA-PBE calculation of a relaxed NaHfCuRu2 crystal, from Alexandria via LeMat-Bulk.

As for the calculated formation energy: 1533 meV/atom. The calculation puts the magnetic moment at 1.63 μB/cell. The value obtained for the density of states at the Fermi level is 4.92 states/eV per cell.

The space group is P4/mmm (No. 123) and the conventional cell measures 4.7496, 4.7496 and 5.4487 Å, with angles of 90.00, 90.00 and 90.00 degrees. The distinct sites, in fractional coordinates, are Na at (0.0000, 0.0000, 0.0000), Hf at (0.0000, 0.0000, 0.5000), Cu at (0.5000, 0.5000, 0.0000) and Ru at (0.0000, 0.5000, 0.5000).

# 3
The following is a GGA-PBE calculation of a relaxed TbUNbN3 crystal, from Alexandria via LeMat-Bulk.

The raw formation energy comes out at -1.05 eV per atom. The calculation puts the magnetic moment at 2.34 μB/cell. The value obtained for the density of states at the Fermi level is 9.25 states/eV per cell.

The space group is P2_1/m (No. 11) and the conventional cell measures 7.0490, 3.2212 and 8.1702 Å, with angles of 90.00, 92.22 and 90.00 degrees. The distinct sites, in fractional coordinates, are Tb at (0.1193, 0.2500, 0.3338), U at (0.3865, 0.7500, 0.6628), Nb at (0.1535, 0.2500, 0.9412), N at (0.1439, 0.7500, 0.1126), N at (0.1532, 0.2500, 0.6508) and N at (0.3888, 0.7500, 0.3983).

# 4
The following is a GGA-PBE calculation of a relaxed Pm12Pr7Nd crystal, from Alexandria via LeMat-Bulk.

As for the calculated formation energy: 212 meV/atom. The calculation puts the magnetic moment at 0.00 μB/cell. The energy above the most stable polymorph in this dataset is 0 meV/atom. The value obtained for the density of states at the Fermi level is 116.58 states/eV per cell.

The space group is R-3 (No. 148, hexagonal axes) and the conventional cell measures 12.3513, 12.3513 and 16.2268 Å, with angles of 90.00, 90.00 and 120.00 degrees. The distinct sites, in fractional coordinates, are Pm at (0.0219, 0.5764, 0.2226), Pm at (0.0529, 0.4639, 0.5815), Pr at (0.0000, 0.0000, 0.0000), Pr at (0.0556, 0.8681, 0.2924) and Nd at (0.0000, 0.0000, 0.5000).

# 5
The following is a GGA-PBE calculation of a relaxed MoPbCl2 crystal, from Alexandria via LeMat-Bulk.

The raw formation energy comes out at 0.22 eV per atom. The calculation puts the magnetic moment at 3.55 μB/cell. The energy above the most stable polymorph in this dataset is 437 meV/atom. The value obtained for the density of states at the Fermi level is 1.41 states/eV per cell.

The space group is Pmmm (No. 47) and the conventional cell measures 3.4174, 4.6200 and 5.8632 Å, with angles of 90.00, 90.00 and 90.00 degrees. The distinct sites, in fractional coordinates, are Mo at (0.0000, 0.0000, 0.0000), Pb at (0.5000, 0.0000, 0.5000), Cl at (0.0000, 0.5000, 0.5000) and Cl at (0.5000, 0.5000, 0.0000).

# 6
The following is a GGA-PBE calculation of a relaxed Pu2MnBr crystal, from Alexandria via LeMat-Bulk.

The raw formation energy comes out at -0.35 eV per atom. The calculation puts the magnetic moment at 9.05 μB/cell. The value obtained for the density of states at the Fermi level is 9.75 states/eV per cell.

The space group is P4/mmm (No. 123) and the conventional cell measures 3.3409, 3.3409 and 8.0216 Å, with angles of 90.00, 90.00 and 90.00 degrees. The distinct sites, in fractional coordinates, are Pu at (0.0000, 0.0000, 0.2129), Mn at (0.5000, 0.5000, 0.0000) and Br at (0.5000, 0.5000, 0.5000).

# 7
The following is a GGA-PBE calculation of a relaxed TlHgS3 crystal, from Alexandria via LeMat-Bulk.

The raw formation energy comes out at 0.17 eV per atom. The calculation puts the magnetic moment at 0.00 μB/cell. The energy above the most stable polymorph in this dataset is 0 meV/atom. The value obtained for the density of states at the Fermi level is 26.58 states/eV per cell.

The space group is R-3 (No. 148, hexagonal axes) and the conventional cell measures 6.6326, 6.6326 and 20.0604 Å, with angles of 90.00, 90.00 and 120.00 degrees. The distinct sites, in fractional coordinates, are Tl at (0.0000, 0.0000, 0.1534), Hg at (0.0000, 0.0000, 0.4132) and S at (0.0242, 0.7200, 0.7482).

# 8
The following is a GGA-PBE calculation of a relaxed Li9Sc4Pb11 crystal, from Alexandria via LeMat-Bulk.

As for the calculated formation energy: -241 meV/atom. The calculation puts the magnetic moment at 0.00 μB/cell. The value obtained for the density of states at the Fermi level is 24.60 states/eV per cell.

The space group is Cmmm (No. 65) and the conventional cell measures 15.2577, 22.3492 and 3.4039 Å, with angles of 90.00, 90.00 and 90.00 degrees. The distinct sites, in fractional coordinates, are Li at (0.0000, 0.0000, 0.0000), Li at (0.1008, 0.2420, 0.0000), Li at (0.1318, 0.4288, 0.0000), Sc at (0.1557, 0.1018, 0.0000), Pb at (0.0000, 0.1382, 0.5000), Pb at (0.0000, 0.3412, 0.5000), Pb at (0.0000, 0.5000, 0.5000), Pb at (0.2229, 0.0000, 0.5000) and Pb at (0.2234, 0.3179, 0.5000).

# 9
The following is a GGA-PBE calculation of a relaxed AcY2Se crystal, from Alexandria via LeMat-Bulk.

The raw formation energy comes out at -0.64 eV per atom. The calculation puts the magnetic moment at 0.00 μB/cell. The energy above the most stable polymorph in this dataset is 177 meV/atom. The value obtained for the density of states at the Fermi level is 14.32 states/eV per cell.

The space group is R-3m (No. 166, hexagonal axes) and the conventional cell measures 3.8235, 3.8235 and 32.1433 Å, with angles of 90.00, 90.00 and 120.00 degrees. The distinct sites, in fractional coordinates, are Ac at (0.0000, 0.0000, 0.0000), Y at (0.0000, 0.0000, 0.1123) and Se at (0.0000, 0.0000, 0.5000).

# 10
The following is a GGA-PBE calculation of a relaxed YFeC3 crystal, from Alexandria via LeMat-Bulk.

As for the calculated formation energy: 3294 meV/atom. The calculation puts the magnetic moment at 0.06 μB/cell. The energy above the most stable polymorph in this dataset is 2259 meV/atom. The value obtained for the density of states at the Fermi level is 13.30 states/eV per cell.

The space group is Pm-3m (No. 221) and the conventional cell measures 4.3745, 4.3745 and 4.3745 Å, with angles of 90.00, 90.00 and 90.00 degrees. The distinct sites, in fractional coordinates, are Y at (0.0000, 0.0000, 0.0000), Fe at (0.5000, 0.5000, 0.5000) and C at (0.0000, 0.0000, 0.5000).

# 11
The following is a GGA-PBE calculation of a relaxed TiMnFeAu crystal, from Alexandria via LeMat-Bulk.

As for the calculated formation energy: -52 meV/atom. The calculation puts the magnetic moment at 20.23 μB/cell. The value obtained for the density of states at the Fermi level is 16.15 states/eV per cell.

The space group is F-43m (No. 216) and the conventional cell measures 6.1980, 6.1980 and 6.1980 Å, with angles of 90.00, 90.00 and 90.00 degrees. The distinct sites, in fractional coordinates, are Ti at (0.0000, 0.0000, 0.0000), Mn at (0.0000, 0.0000, 0.5000), Fe at (0.2500, 0.2500, 0.7500) and Au at (0.2500, 0.2500, 0.2500).

# 12
The following is a GGA-PBE calculation of a relaxed AcLaGaIr crystal, from Alexandria via LeMat-Bulk.

As for the calculated formation energy: -456 meV/atom. The calculation puts the magnetic moment at 0.00 μB/cell. The energy above the most stable polymorph in this dataset is 145 meV/atom. The value obtained for the density of states at the Fermi level is 13.55 states/eV per cell.

The space group is F-43m (No. 216) and the conventional cell measures 7.4971, 7.4971 and 7.4971 Å, with angles of 90.00, 90.00 and 90.00 degrees. The distinct sites, in fractional coordinates, are Ac at (0.0000, 0.0000, 0.0000), La at (0.0000, 0.0000, 0.5000), Ga at (0.2500, 0.2500, 0.2500) and Ir at (0.2500, 0.2500, 0.7500).